VASP calculation (PBE-GGA) on a relaxed structure of Pm3Ag4Pd4.

Geometry as CIF:
```
data_Pm3Ag4Pd4
_chemical_formula_sum 'Pm6 Ag8 Pd8'
_cell_length_a 4.217
_cell_length_b 7.707
_cell_length_c 14.666
_cell_angle_alpha 90.00
_cell_angle_beta 90.00
_cell_angle_gamma 90.00
_space_group_name_H-M_alt 'I m m m'
_space_group_IT_number 71
_space_group_name_Hall '-I 2 2'
loop_
_atom_site_label
_atom_site_fract_x
_atom_site_fract_y
_atom_site_fract_z
Pm1 0.000 0.000 0.000
Pm2 0.000 0.500 0.128
Ag1 0.000 0.305 0.328
Pd1 0.000 0.000 0.225
Pd2 0.000 0.180 0.500
```

## Properties
The calculation puts the total energy at -4.683 eV per atom. The density is 9.0 g cm⁻³. The value obtained for the formation energy is -5.08 eV per formula unit.


VASP calculation (PBE-GGA) on a relaxed structure of ZnGeSe3.

Geometry as CIF:
```
data_ZnGeSe3
_chemical_formula_sum 'Zn1 Ge1 Se3'
_cell_length_a 4.911
_cell_length_b 4.911
_cell_length_c 4.911
_cell_angle_alpha 90.00
_cell_angle_beta 90.00
_cell_angle_gamma 90.00
_space_group_name_H-M_alt 'P m -3 m'
_space_group_IT_number 221
_space_group_name_Hall '-P 4 2 3'
loop_
_atom_site_label
_atom_site_fract_x
_atom_site_fract_y
_atom_site_fract_z
Zn1 0.000 0.000 0.000
Ge1 0.500 0.500 0.500
Se1 0.000 0.000 0.500
```

## Properties
The value obtained for the formation energy from raw total energies is 0.357 eV per atom. The calculation puts the total energy at -2.912 eV per atom. The calculation puts the energy above the most stable polymorph in this dataset at 0.707 eV/atom. The density is 5.3 g cm⁻³.